Tb6Tl3Co: relaxed, GGA-PBE.

Computed properties:
DOS at the Fermi energy = 1.070 states/eV/atom
Total energy = -88.0 eV per cell
Magnetization = 0.0 μB/f.u.

Unit cell a=6.044 b=8.885 c=12.019 alpha=90.00 beta=117.99 gamma=90.00
Space group P2_1/c (No. 14)
Asymmetric unit:
Tb: 0.061 0.155 0.442 x4
Tb: 0.347 0.702 0.434 x4
Tb: 0.403 0.051 0.278 x4
Tl: 0.000 0.000 0.000 x2
Tl: 0.173 0.114 0.764 x4
Co: 0.500 0.000 0.500 x2